Material: CaCd2Cl
Method: DFT, GGA-PBE
State: relaxed

Geometry as extended XYZ:
```
4
Lattice="-8.040 -2.899 -3.948 -5.371 -3.964 -6.639 -6.063 -6.278 -3.530" Properties=species:S:1:pos:R:3 pbc="T T T"
Cd -5.190 -3.502 -3.763
Cd -0.043 -0.029 -0.031
Ca -14.698 -9.918 -10.655
Cl -9.278 -6.261 -6.726
```

Computed properties:
* V: 123 Å³/cell
* N(E_F): 0.5 states/eV/f.u.
* offset from the most stable computed form: 0.005 eV per atom
* formation energy without anion corrections: -0.784 eV per atom
* symmetry: No. 160

---

Material: ThAl9Cu2
Method: DFT, GGA-PBE
State: relaxed

Geometry as extended XYZ:
```
24
Lattice="6.479 0.000 2.983 3.240 7.539 1.491 0.087 0.000 8.339" Properties=species:S:1:pos:R:3 pbc="T T T"
Al 4.213 0.593 4.629
Al 6.522 3.769 7.152
Al 6.299 4.363 4.360
Al 2.330 5.096 8.718
Al 4.986 2.443 2.949
Al 4.236 5.096 2.604
Al 2.353 0.593 6.693
Al 6.746 4.363 9.945
Al 7.519 6.212 8.265
Al 1.537 1.327 4.204
Al 4.256 3.176 8.798
Al 2.310 3.176 2.524
Al 1.580 2.443 8.373
Al 5.526 6.212 6.040
Al 5.029 1.327 7.118
Al 0.000 0.000 0.000
Al 3.103 6.945 7.039
Al 3.463 6.945 4.284
Cu 6.544 1.885 9.237
Cu 4.924 5.654 8.492
Cu 6.501 1.885 5.068
Cu 8.121 5.654 5.813
Th 3.283 3.769 5.661
Th 3.240 0.000 1.491
```

Computed properties:
* V: 405 Å³/cell
* N(E_F): 6.3 states/eV/f.u.
* symmetry: No. 141
* energy relative to the elements: -0.18 eV per atom